First-principles (GGA+U) data for a geometry-optimized LiCa2CrO4 structure, as listed in the Alexandria database.

Calculated values
total magnetic moment: 3.00 μB/f.u.
calculated total energy: -52.2 eV/f.u.

Unit cell a=5.429 b=3.225 c=5.531 alpha=90.00 beta=108.66 gamma=90.00
Space group P2/m (No. 10)
Inequivalent atoms, fractional coordinates:
Li: 0.000 0.000 0.000
Ca: 0.500 0.000 0.500
Ca: 0.500 0.500 0.000
Cr: 0.000 0.500 0.500
O: 0.215 0.000 0.727
O: 0.229 0.500 0.263